Computed, not measured: an optimized crystal structure of Rb2MgMoO4 at the PBE+U level of DFT.

abc: 5.683 13.463 20.324
angles: 90.00 90.00 90.00
Space group Fddd (No. 70, origin choice 2)
Inequivalent atoms, fractional coordinates:
Rb: 0.125 0.125 0.307 x16
Mg: 0.125 0.125 0.625 x8
Mo: 0.125 0.125 0.125 x8
O: 0.114 0.281 0.399 x32

The total energy comes out at -5.451 eV/atom. The density comes out at 3.03 g/cm³. The total magnetic moment is 0.4 μB per cell.